Crystalline ZnOs2Br at its relaxed geometry. Source: Alexandria via LeMat-Bulk, functional PBE-GGA.

## Properties
V: 63.9 Å³ per cell
Size of the total moment: 0.0 μB per cell
Space-group type: Pmmm, No. 47
Excess energy over the best structure of this formula in the dataset: 627.1 meV per atom

Cell: 2.8003 4.9009 4.6527 Å, 90.00 90.00 90.00°
Fractional positions:
Os (0.5000, 0.5000, 0.0000)
Br (0.0000, 0.5000, 0.5000)
Zn (0.5000, 0.0000, 0.5000)
Os (0.0000, 0.0000, 0.0000)